Entry from the Alexandria database: a relaxed structure of Li2PmHg2 (PBE).

The structure belongs to space group C2/m (No. 12); the cell edges are 8.6093, 4.9708 and 5.6233 Å and the angles 90.00°, 120.38° and 90.00°. The distinct sites, in fractional coordinates, are Li at (0.0834, 0.0000, 0.2475), Pm at (0.0000, 0.5000, 0.5000) and Hg at (0.2229, 0.5000, 0.1672).

The calculation puts the total energy at -21.9 eV per cell.

***

Entry from the Alexandria database: a relaxed structure of LiPm3Hg3 (PBE).

The structure belongs to space group C2/m (No. 12); the cell edges are 10.3862, 10.1290 and 7.4719 Å and the angles 90.00°, 91.88° and 90.00°. The distinct sites, in fractional coordinates, are Li at (0.0700, 0.0000, 0.3510), Pm at (0.0577, 0.5000, 0.7472), Pm at (0.2483, 0.3017, 0.2576), Hg at (0.0000, 0.2396, 0.0000), Hg at (0.0000, 0.2504, 0.5000) and Hg at (0.1838, 0.0000, 0.0453).

The calculation puts the total energy at -76.1 eV per cell.

***

Entry from the Alexandria database: a relaxed structure of LiPm2Hg (PBE).

The structure belongs to space group Fm-3m (No. 225); the cell edges are 7.5713, 7.5713 and 7.5713 Å and the angles 90.00°, 90.00° and 90.00°. The distinct sites, in fractional coordinates, are Li at (0.0000, 0.0000, 0.0000), Pm at (0.2500, 0.2500, 0.2500) and Hg at (0.0000, 0.0000, 0.5000).

The calculation puts the total energy at -50.2 eV per cell.

***

Entry from the Alexandria database: a relaxed structure of LiPm8Hg2 (PBE).

The structure belongs to space group C2/m (No. 12); the cell edges are 18.4285, 5.3346 and 7.1486 Å and the angles 90.00°, 105.15° and 90.00°. The distinct sites, in fractional coordinates, are Li at (0.0000, 0.0000, 0.0000), Pm at (0.0239, 0.5000, 0.7648), Pm at (0.0909, 0.0000, 0.4633), Pm at (0.1629, 0.0000, 0.9678), Pm at (0.1939, 0.5000, 0.3015) and Hg at (0.1875, 0.5000, 0.7241).

The calculation puts the total energy at -83.7 eV per cell.

***

Entry from the Alexandria database: a relaxed structure of Li2Pm2Hg (PBE).

The structure belongs to space group I4/mmm (No. 139); the cell edges are 3.6362, 3.6362 and 19.9446 Å and the angles 90.00°, 90.00° and 90.00°. The distinct sites, in fractional coordinates, are Li at (0.0000, 0.5000, 0.2500), Pm at (0.0000, 0.0000, 0.1015) and Hg at (0.0000, 0.0000, 0.5000).

The calculation puts the total energy at -27.5 eV per cell.

***

Entry from the Alexandria database: a relaxed structure of Li4Pm3Hg4 (PBE).

The structure belongs to space group C2/m (No. 12); the cell edges are 31.1657, 3.4843 and 4.7874 Å and the angles 90.00°, 98.78° and 90.00°. The distinct sites, in fractional coordinates, are Li at (0.0937, 0.0000, 0.0933), Li at (0.2425, 0.0000, 0.7422), Pm at (0.0000, 0.5000, 0.0000), Pm at (0.1432, 0.5000, 0.6425), Hg at (0.0514, 0.0000, 0.5512) and Hg at (0.1856, 0.0000, 0.1852).

The calculation puts the total energy at -53.5 eV per cell.

***

Entry from the Alexandria database: a relaxed structure of Li2PmHg6 (PBE).

The structure belongs to space group C2/m (No. 12); the cell edges are 14.8671, 8.5619 and 3.3859 Å and the angles 90.00°, 102.96° and 90.00°. The distinct sites, in fractional coordinates, are Li at (0.1434, 0.0000, 0.1407), Pm at (0.0000, 0.5000, 0.0000), Hg at (0.0000, 0.1653, 0.5000) and Hg at (0.1773, 0.3268, 0.6725).

The calculation puts the total energy at -25.6 eV per cell.

***

Entry from the Alexandria database: a relaxed structure of Li5PmHg4 (PBE).

The structure belongs to space group P4/mmm (No. 123); the cell edges are 3.4346, 3.4346 and 17.0261 Å and the angles 90.00°, 90.00° and 90.00°. The distinct sites, in fractional coordinates, are Li at (0.0000, 0.0000, 0.0000), Li at (0.0000, 0.0000, 0.1869), Li at (0.0000, 0.0000, 0.3625), Pm at (0.5000, 0.5000, 0.5000), Hg at (0.5000, 0.5000, 0.0953) and Hg at (0.5000, 0.5000, 0.2861).

The calculation puts the total energy at -18.3 eV per cell.

***

Entry from the Alexandria database: a relaxed structure of Li3PmHg9 (PBE).

The structure belongs to space group C2/m (No. 12); the cell edges are 5.7609, 14.2829 and 7.5012 Å and the angles 90.00°, 112.05° and 90.00°. The distinct sites, in fractional coordinates, are Li at (0.0000, 0.0000, 0.0000), Li at (0.2500, 0.2500, 0.5000), Pm at (0.0000, 0.0000, 0.5000), Hg at (0.0000, 0.5000, 0.0000), Hg at (0.1333, 0.3910, 0.7097) and Hg at (0.1694, 0.1757, 0.8226).

The calculation puts the total energy at -32.5 eV per cell.

***

Entry from the Alexandria database: a relaxed structure of Li4Pm5Hg4 (PBE).

The structure belongs to space group I4/m (No. 87); the cell edges are 11.6752, 11.6752 and 4.8730 Å and the angles 90.00°, 90.00° and 90.00°. The distinct sites, in fractional coordinates, are Li at (0.0704, 0.6026, 0.0000), Pm at (0.0000, 0.0000, 0.5000), Pm at (0.1291, 0.2017, 0.0000) and Hg at (0.0556, 0.7393, 0.5000).

The calculation puts the total energy at -73.0 eV per cell.

***

Entry from the Alexandria database: a relaxed structure of LiPm5Hg6 (PBE).

The structure belongs to space group C2/m (No. 12); the cell edges are 9.1456, 16.0974 and 5.3037 Å and the angles 90.00°, 125.32° and 90.00°. The distinct sites, in fractional coordinates, are Li at (0.0000, 0.0000, 0.0000), Pm at (0.0000, 0.1634, 0.5000), Pm at (0.0000, 0.3317, 0.0000), Pm at (0.0000, 0.5000, 0.5000), Hg at (0.2386, 0.0000, 0.7392) and Hg at (0.2404, 0.1592, 0.2403).

The calculation puts the total energy at -65.8 eV per cell.

***

Entry from the Alexandria database: a relaxed structure of LiPmHg (PBE).

The structure belongs to space group P-62m (No. 189); the cell edges are 7.2924, 7.2924 and 4.8342 Å and the angles 90.00°, 90.00° and 120.00°. The distinct sites, in fractional coordinates, are Li at (0.0000, 0.7693, 0.0000), Pm at (0.0000, 0.4262, 0.5000), Hg at (0.0000, 0.0000, 0.5000) and Hg at (0.3333, 0.6667, 0.0000).

The calculation puts the total energy at -24.1 eV per cell.

***

Entry from the Alexandria database: a relaxed structure of Li2PmHg (PBE).

The structure belongs to space group Pmmn (No. 59, origin choice 2); the cell edges are 4.7598, 5.7016 and 6.8799 Å and the angles 90.00°, 90.00° and 90.00°. The distinct sites, in fractional coordinates, are Li at (0.2500, 0.0090, 0.1070), Pm at (0.2500, 0.2500, 0.5709) and Hg at (0.2500, 0.7500, 0.7562).

The calculation puts the total energy at -19.6 eV per cell.

***

Entry from the Alexandria database: a relaxed structure of LiPm2Hg4 (PBE).

The structure belongs to space group R-3m (No. 166, hexagonal axes); the cell edges are 5.0007, 5.0007 and 26.0439 Å and the angles 90.00°, 90.00° and 120.00°. The distinct sites, in fractional coordinates, are Li at (0.0000, 0.0000, 0.0000), Pm at (0.0000, 0.0000, 0.2499), Hg at (0.0000, 0.0000, 0.1289) and Hg at (0.0000, 0.0000, 0.3698).

The calculation puts the total energy at -44.9 eV per cell.

***

Entry from the Alexandria database: a relaxed structure of Li2PmHg6 (PBE).

The structure belongs to space group P6/mmm (No. 191); the cell edges are 6.0744, 6.0744 and 7.5687 Å and the angles 90.00°, 90.00° and 120.00°. The distinct sites, in fractional coordinates, are Li at (0.3333, 0.6667, 0.0000), Pm at (0.0000, 0.0000, 0.5000) and Hg at (0.0000, 0.5000, 0.2970).

The calculation puts the total energy at -11.9 eV per cell.

***

Entry from the Alexandria database: a relaxed structure of Li2PmHg (PBE).

The structure belongs to space group Fm-3m (No. 225); the cell edges are 6.9144, 6.9144 and 6.9144 Å and the angles 90.00°, 90.00° and 90.00°. The distinct sites, in fractional coordinates, are Li at (0.2500, 0.2500, 0.2500), Pm at (0.0000, 0.0000, 0.0000) and Hg at (0.0000, 0.0000, 0.5000).

The calculation puts the total energy at -38.5 eV per cell.

***

Entry from the Alexandria database: a relaxed structure of LiPmHg4 (PBE).

The structure belongs to space group C2/m (No. 12); the cell edges are 6.6692, 6.6725 and 7.2570 Å and the angles 90.00°, 90.19° and 90.00°. The distinct sites, in fractional coordinates, are Li at (0.0000, 0.0000, 0.0000), Pm at (0.0000, 0.5000, 0.5000) and Hg at (0.2493, 0.2508, 0.2106).

The calculation puts the total energy at -17.8 eV per cell.

***

Entry from the Alexandria database: a relaxed structure of Li2Pm3Hg7 (PBE).

The structure belongs to space group P2/m (No. 10); the cell edges are 4.8131, 4.3260 and 14.2340 Å and the angles 90.00°, 99.22° and 90.00°. The distinct sites, in fractional coordinates, are Li at (0.1301, 0.0000, 0.2670), Pm at (0.0000, 0.0000, 0.0000), Pm at (0.3216, 0.5000, 0.6407), Hg at (0.0839, 0.5000, 0.1695), Hg at (0.2226, 0.0000, 0.4440), Hg at (0.4154, 0.0000, 0.8264) and Hg at (0.5000, 0.5000, 0.0000).

The calculation puts the total energy at -24.0 eV per cell.

***

Entry from the Alexandria database: a relaxed structure of Li4PmHg12 (PBE).

The structure belongs to space group Im-3 (No. 204); the cell edges are 9.4249, 9.4249 and 9.4249 Å and the angles 90.00°, 90.00° and 90.00°. The distinct sites, in fractional coordinates, are Li at (0.2500, 0.2500, 0.2500), Pm at (0.0000, 0.0000, 0.0000) and Hg at (0.0000, 0.1584, 0.3412).

The calculation puts the total energy at -36.2 eV per cell.

***

Entry from the Alexandria database: a relaxed structure of Li4PmHg5 (PBE).

The structure belongs to space group P4/mmm (No. 123); the cell edges are 3.4629, 3.4629 and 16.9721 Å and the angles 90.00°, 90.00° and 90.00°. The distinct sites, in fractional coordinates, are Li at (0.0000, 0.0000, 0.0924), Li at (0.0000, 0.0000, 0.2796), Pm at (0.0000, 0.0000, 0.5000), Hg at (0.5000, 0.5000, 0.0000), Hg at (0.5000, 0.5000, 0.1855) and Hg at (0.5000, 0.5000, 0.3727).

The calculation puts the total energy at -17.7 eV per cell.